# ZrAg2Pb

Crystalline ZrAg2Pb at its relaxed geometry (PBE, Alexandria).

Values from the calculation:
* final energy: -4.433 eV/atom
* volume: 86.53 Å³/cell
* energy of formation: 6 kJ/mol of atoms

a b c (Å): 3.0946 4.2290 6.6121
angles (deg): 90.00 90.00 90.00
Closest atoms and distances in Å follow each position.
Fractional coordinates of all 4 atoms:
Zr: 0.0000 0.0000 0.0000  5 Ag 2.98-3.07, 2 Zr 3.09, 4 Pb 3.16
Ag: 0.0000 0.0000 0.4503  6 Ag 2.96-3.09, 1 Zr 2.98, 4 Pb 3.22
Ag: 0.5000 0.5000 0.2433  6 Ag 2.96-3.09, 4 Zr 3.07, 1 Pb 3.24
Pb: 0.5000 0.5000 0.7331  2 Pb 3.09, 4 Zr 3.16, 6 Ag 3.22-3.37